# 1
A plane-wave DFT calculation with PBE-GGA was carried out for crystalline TiNb3V at its relaxed geometry.

a = 5.086 Å, b = 5.086 Å, c = 9.200 Å
α = 106.05°, β = 106.05°, γ = 90.00°
Fractional positions:
1 Nb 0.124 0.875 0.247
2 Nb 0.711 0.711 0.421
3 Nb 0.124 0.373 0.247
4 Nb 0.627 0.876 0.753
5 Nb 0.125 0.876 0.753
6 Nb 0.289 0.289 0.579
7 V 0.250 0.750 0.500
8 V 0.000 0.000 0.000
9 Ti 0.577 0.077 0.153
10 Ti 0.923 0.423 0.847

Properties
- crystal system = tetragonal
- offset from the most stable computed form (eV/f.u.) = 5.113
- formation enthalpy at 0 K (eV per atom) = 1.056

=====

# 2
A plane-wave DFT calculation with PBE-GGA was carried out for crystalline RbBrF2 at its relaxed geometry.

a = 6.805 Å, b = 6.805 Å, c = 6.805 Å
α = 39.02°, β = 39.02°, γ = 39.02°
Fractional positions:
1 Rb 0.500 0.500 0.500
2 Br 0.000 0.000 0.000
3 F 0.106 0.106 0.106
4 F 0.894 0.894 0.894

Properties
- raw formation energy (eV per atom) = -1.78
- crystal system = trigonal
- offset from the most stable computed form (eV/f.u.) = 0.001

=====

# 3
A plane-wave DFT calculation with PBE-GGA was carried out for crystalline LaAlSb at its relaxed geometry.

a = 5.196 Å, b = 5.196 Å, c = 5.196 Å
α = 60.00°, β = 60.00°, γ = 60.00°
Fractional positions:
1 La 0.250 0.250 0.250
2 Al 0.500 0.500 0.500
3 Sb 0.000 0.000 0.000

Properties
- raw formation energy (eV per atom) = -0.14
- crystal system = cubic

=====

# 4
A plane-wave DFT calculation with PBE-GGA was carried out for crystalline Sc2Nb2Ir at its relaxed geometry.

a = 3.551 Å, b = 3.551 Å, c = 8.802 Å
α = 78.36°, β = 78.36°, γ = 90.00°
Fractional positions:
1 Sc 0.586 0.586 0.827
2 Sc 0.414 0.414 0.173
3 Nb 0.250 0.750 0.500
4 Nb 0.750 0.250 0.500
5 Ir 0.000 0.000 0.000

Properties
- crystal system = tetragonal
- offset from the most stable computed form (eV/f.u.) = 1.463
- formation enthalpy at 0 K (eV per atom) = 0.225

=====

# 5
A plane-wave DFT calculation with PBE-GGA was carried out for crystalline KRbSbPt at its relaxed geometry.

a = 4.585 Å, b = 4.585 Å, c = 10.023 Å
α = 90.10°, β = 103.16°, γ = 119.92°
Fractional positions:
1 Rb 0.343 0.037 0.380
2 K 0.010 0.869 0.879
3 Sb 0.836 0.282 0.119
4 Pt 0.503 0.616 0.119

Properties
- raw formation energy (eV per atom) = -0.36
- crystal system = monoclinic

=====

# 6
A plane-wave DFT calculation with PBE-GGA was carried out for crystalline K2NiBr at its relaxed geometry.

a = 4.787 Å, b = 4.787 Å, c = 6.824 Å
α = 90.00°, β = 90.00°, γ = 90.00°
Fractional positions:
1 Ni 0.000 0.000 0.375
2 K 0.500 0.500 0.375
3 K 0.000 0.000 0.874
4 Br 0.500 0.500 0.876

Properties
- raw formation energy (eV per atom) = -0.22
- crystal system = tetragonal
- offset from the most stable computed form (eV/f.u.) = 0.190

=====

# 7
A plane-wave DFT calculation with PBE-GGA was carried out for crystalline Tb8Pm3Sm3 at its relaxed geometry.

a = 5.690 Å, b = 9.746 Å, c = 9.746 Å
α = 102.13°, β = 73.01°, γ = 73.01°
Fractional positions:
1 Tb 0.160 0.443 0.237
2 Tb 0.160 0.237 0.443
3 Tb 0.340 0.439 0.881
4 Tb 0.340 0.881 0.439
5 Tb 0.660 0.119 0.561
6 Tb 0.840 0.763 0.557
7 Tb 0.660 0.561 0.119
8 Tb 0.840 0.557 0.763
9 Pm 0.000 0.184 0.816
10 Pm 0.000 0.816 0.184
11 Pm 0.500 0.000 0.000
12 Sm 0.800 0.200 0.200
13 Sm 0.500 0.500 0.500
14 Sm 0.200 0.800 0.800

Properties
- crystal system = orthorhombic
- offset from the most stable computed form (eV/f.u.) = 0.000
- formation enthalpy at 0 K (eV per atom) = 0.108

=====

# 8
A plane-wave DFT calculation with PBE-GGA was carried out for crystalline Nd4Tl2Sn at its relaxed geometry.

a = 8.330 Å, b = 8.331 Å, c = 8.332 Å
α = 109.51°, β = 109.49°, γ = 109.42°
Fractional positions:
1 Tl 0.747 0.875 0.371
2 Tl 0.625 0.254 0.129
3 Tl 0.503 0.375 0.628
4 Tl 0.125 0.497 0.872
5 Sn 0.000 0.000 0.000
6 Sn 0.250 0.750 0.500
7 Nd 0.371 0.979 0.250
8 Nd 0.728 0.121 0.749
9 Nd 0.021 0.272 0.393
10 Nd 0.522 0.771 0.893
11 Nd 0.879 0.628 0.607
12 Nd 0.371 0.479 0.250
13 Nd 0.878 0.629 0.107
14 Nd 0.229 0.122 0.751

Properties
- crystal system = tetragonal
- offset from the most stable computed form (eV/f.u.) = 0.000
- formation enthalpy at 0 K (eV per atom) = -0.434

=====

# 9
A plane-wave DFT calculation with PBE-GGA was carried out for crystalline AcAlCu2Pd4 at its relaxed geometry.

a = 4.328 Å, b = 4.328 Å, c = 9.080 Å
α = 76.21°, β = 76.21°, γ = 60.00°
Fractional positions:
1 Cu 0.238 0.238 0.287
2 Cu 0.762 0.762 0.713
3 Pd 0.134 0.134 0.599
4 Pd 0.405 0.405 0.784
5 Pd 0.595 0.595 0.216
6 Pd 0.866 0.866 0.401
7 Al 0.500 0.500 0.500
8 Ac 0.000 0.000 0.000

Properties
- crystal system = trigonal
- formation enthalpy at 0 K (eV per atom) = -0.554

=====

# 10
A plane-wave DFT calculation with PBE-GGA was carried out for crystalline MnAg2Se at its relaxed geometry.

a = 2.912 Å, b = 2.912 Å, c = 8.768 Å
α = 90.00°, β = 90.00°, γ = 90.00°
Fractional positions:
1 Ag 0.000 0.000 0.027
2 Ag 0.000 0.000 0.473
3 Mn 0.500 0.500 0.250
4 Se 0.500 0.500 0.750

Properties
- raw formation energy (eV per atom) = 0.25
- crystal system = tetragonal

=====

# 11
A plane-wave DFT calculation with PBE-GGA was carried out for crystalline ZnGa6Tc at its relaxed geometry.

a = 5.334 Å, b = 5.334 Å, c = 5.617 Å
α = 84.20°, β = 84.20°, γ = 93.09°
Fractional positions:
1 Tc 0.000 0.000 0.000
2 Ga 0.679 0.078 0.325
3 Ga 0.922 0.321 0.675
4 Ga 0.675 0.675 0.941
5 Ga 0.321 0.922 0.675
6 Ga 0.078 0.679 0.325
7 Ga 0.325 0.325 0.059
8 Zn 0.500 0.500 0.500

Properties
- crystal system = monoclinic
- formation enthalpy at 0 K (eV per atom) = 0.120

=====

# 12
A plane-wave DFT calculation with PBE-GGA was carried out for crystalline La2FeHgN at its relaxed geometry.

a = 4.992 Å, b = 4.685 Å, c = 4.992 Å
α = 90.00°, β = 90.00°, γ = 90.00°
Fractional positions:
1 La 0.000 0.000 0.500
2 La 0.500 0.000 0.000
3 N 0.000 0.000 0.000
4 Fe 0.500 0.500 0.500
5 Hg 0.000 0.500 0.000

Properties
- raw formation energy (eV per atom) = -0.04
- crystal system = tetragonal
- offset from the most stable computed form (eV/f.u.) = 2.957

=====

# 13
A plane-wave DFT calculation with PBE-GGA was carried out for crystalline LiTmZn2 at its relaxed geometry.

a = 3.282 Å, b = 4.907 Å, c = 4.907 Å
α = 90.00°, β = 90.00°, γ = 90.00°
Fractional positions:
1 Li 0.500 0.000 0.000
2 Zn 0.000 0.500 0.000
3 Zn 0.000 0.000 0.500
4 Tm 0.500 0.500 0.500

Properties
- crystal system = tetragonal
- offset from the most stable computed form (eV/f.u.) = 0.184
- formation enthalpy at 0 K (eV per atom) = -0.190